Entry 1:
Below is an optimized crystal structure of CaLaI2O, with properties calculated at the PBE level.

Lattice parameters (Å, degrees): 6.643 6.643 4.305 90.00 90.00 90.00
Space group P4/mmm (No. 123)
Unique sites:
Ca1 0.000 0.000 0.000 [1 per cell]
La1 0.500 0.500 0.500 [1 per cell]
I1 0.000 0.500 0.500 [2 per cell]
O1 0.500 0.500 0.000 [1 per cell]

Properties
- Magnetic moment: 0.0 μB/f.u.
- Polymorph energy (0 for the lowest one): 0 meV/atom
- VASP energy: -4.636 eV/atom

Entry 2:
Below is an optimized crystal structure of CaLaIO2, with properties calculated at the PBE level.

Lattice parameters (Å, degrees): 4.594 4.594 6.302 90.00 90.00 90.00
Space group P4/mmm (No. 123)
Unique sites:
Ca1 0.000 0.000 0.000 [1 per cell]
La1 0.500 0.500 0.500 [1 per cell]
I1 0.500 0.500 0.000 [1 per cell]
O1 0.000 0.500 0.500 [2 per cell]

Properties
- Magnetic moment: 0.2 μB/f.u.
- Polymorph energy (0 for the lowest one): 1022 meV/atom
- VASP energy: -5.500 eV/atom

Entry 3:
Below is an optimized crystal structure of CaLaPb2I, with properties calculated at the PBE level.

Lattice parameters (Å, degrees): 6.187 6.187 5.893 90.00 90.00 90.00
Space group P4/mmm (No. 123)
Unique sites:
Ca1 0.000 0.000 0.000 [1 per cell]
La1 0.500 0.500 0.000 [1 per cell]
Pb1 0.000 0.500 0.500 [2 per cell]
I1 0.500 0.500 0.500 [1 per cell]

Properties
- Magnetic moment: 0.0 μB/f.u.
- VASP energy: -3.024 eV/atom

Entry 4:
Below is an optimized crystal structure of Ca2LaPdI, with properties calculated at the PBE level.

Lattice parameters (Å, degrees): 6.462 6.462 5.904 90.00 90.00 90.00
Space group P4/mmm (No. 123)
Unique sites:
Ca1 0.000 0.500 0.000 [2 per cell]
La1 0.000 0.000 0.000 [1 per cell]
Pd1 0.500 0.500 0.500 [1 per cell]
I1 0.000 0.000 0.500 [1 per cell]

Properties
- Magnetic moment: 0.0 μB/f.u.
- VASP energy: -2.426 eV/atom

Entry 5:
Below is an optimized crystal structure of CaLaPtI, with properties calculated at the PBE level.

Lattice parameters (Å, degrees): 4.2639 4.2639 24.5539 90.00 90.00 120.00
Space group R3m (No. 160, hexagonal axes)
Unique sites:
Ca1 0.0000 0.0000 0.0000 [3 per cell]
La1 0.0000 0.0000 0.7935 [3 per cell]
Pt1 0.0000 0.0000 0.3993 [3 per cell]
I1 0.0000 0.0000 0.5656 [3 per cell]

Properties
- Magnetic moment: 0.0 μB/f.u.
- VASP energy: -4.801 eV/atom

Entry 6:
Below is an optimized crystal structure of CaLa2Pt2I2, with properties calculated at the PBE level.

Lattice parameters (Å, degrees): 5.274 5.274 16.629 90.00 90.00 90.00
Space group I4/mmm (No. 139)
Unique sites:
Ca1 0.000 0.000 0.000 [2 per cell]
La1 0.000 0.000 0.396 [4 per cell]
Pt1 0.000 0.500 0.000 [4 per cell]
I1 0.000 0.000 0.192 [4 per cell]

Properties
- Magnetic moment: 0.0 μB/f.u.
- VASP energy: -4.822 eV/atom

Entry 7:
Below is an optimized crystal structure of CaLaSbI2, with properties calculated at the PBE level.

Lattice parameters (Å, degrees): 5.665 5.665 6.293 90.00 90.00 90.00
Space group P4/mmm (No. 123)
Unique sites:
Ca1 0.000 0.000 0.000 [1 per cell]
La1 0.500 0.500 0.500 [1 per cell]
Sb1 0.000 0.000 0.500 [1 per cell]
I1 0.000 0.500 0.000 [2 per cell]

Properties
- Magnetic moment: 0.2 μB/f.u.
- Polymorph energy (0 for the lowest one): 48 meV/atom
- VASP energy: -3.484 eV/atom

Entry 8:
Below is an optimized crystal structure of CaLaSbI2, with properties calculated at the PBE level.

Lattice parameters (Å, degrees): 6.108 6.108 6.364 90.00 90.00 90.00
Space group P4/mmm (No. 123)
Unique sites:
Ca1 0.000 0.000 0.000 [1 per cell]
La1 0.500 0.500 0.500 [1 per cell]
Sb1 0.500 0.500 0.000 [1 per cell]
I1 0.000 0.500 0.500 [2 per cell]

Properties
- Magnetic moment: 0.0 μB/f.u.
- Polymorph energy (0 for the lowest one): 0 meV/atom
- VASP energy: -3.532 eV/atom

The records above give, respectively, energy relative to the elements, uncorrected values of -1.64, -1.82, 0.16, 0.71, -1.17, -0.96, -0.65, -0.70 eV per atom.